VASP calculation (PBE with a Hubbard U) on crystalline PaCo2PO8 at its relaxed geometry.

Summary:
Total magnetization   8.0 μB/cell
SG   P-3m1, No. 164
Uncorrected energy   -6.88 eV/atom
N(E_F)   8.30 states/eV/f.u.

Cell: 5.455 5.455 5.566 Å, 90.00 90.00 120.00°
Positions (direct):
1 Pa 0.000 0.000 0.500
2 Co 0.667 0.333 0.995
3 Co 0.333 0.667 0.005
4 P 0.000 0.000 0.000
5 O 0.853 0.706 0.818
6 O 0.294 0.147 0.818
7 O 0.853 0.147 0.818
8 O 0.147 0.294 0.182
9 O 0.706 0.853 0.182
10 O 0.147 0.853 0.182
11 O 0.667 0.333 0.321
12 O 0.333 0.667 0.679